LaZr2In | PBE | relaxed

The structure in POSCAR format:
```
LaZr2In
1.0
-2.142 2.896 2.718
1.243 -2.598 3.747
3.969 2.528 0.436
La Zr In
1 2 1
direct
0.500 0.000 0.500 La
0.000 0.500 0.500 Zr
0.000 0.000 0.000 Zr
0.500 0.500 0.000 In
```

Calculated values
- Symmetry: P4/mmm, No. 123
- M_tot: 0.00 μB/cell
- Crystal system: tetragonal
- DFT formation energy: -0.1044 eV/atom

Ce8Al2Zn | PBE | relaxed

The structure in POSCAR format:
```
Ce8Al2Zn
1.0
5.067 0.000 -1.532
-0.753 6.965 -2.491
-0.353 -0.642 7.979
Ce Al Zn
8 2 1
direct
0.384 0.550 0.768 Ce
0.665 0.848 0.330 Ce
0.996 0.721 0.992 Ce
0.146 0.131 0.291 Ce
0.335 0.152 0.670 Ce
0.854 0.869 0.709 Ce
0.004 0.279 0.008 Ce
0.616 0.450 0.232 Ce
0.795 0.323 0.590 Al
0.205 0.677 0.410 Al
0.500 0.000 0.000 Zn
```

Calculated values
- Symmetry: C2/m, No. 12
- M_tot: 1.41 μB/cell
- Crystal system: monoclinic
- DFT formation energy: -0.1055 eV/atom

RbCoBi2 | PBE | relaxed

The structure in POSCAR format:
```
RbCoBi2
1.0
-0.882 -5.816 2.685
-1.659 -2.410 -5.766
6.147 -5.882 -2.936
Rb Bi Co
2 4 2
direct
0.750 0.250 0.500 Rb
0.000 0.000 0.000 Rb
0.375 0.125 0.250 Bi
0.875 0.625 0.750 Bi
0.375 0.625 0.250 Bi
0.375 0.625 0.750 Bi
0.250 0.750 0.500 Co
0.500 0.500 0.000 Co
```

Calculated values
- Excess energy over the best structure of this formula in the dataset: 0 meV/atom
- Symmetry: I4_1/amd, No. 141
- M_tot: 2.41 μB/cell
- Crystal system: tetragonal
- DFT formation energy: 0.2259 eV/atom

YCdAu4 | PBE | relaxed

The structure in POSCAR format:
```
YCdAu4
1.0
-0.444 0.893 -4.562
2.379 -3.895 -0.994
-5.744 -3.485 -0.128
Cd Au Y
1 4 1
direct
0.001 0.997 0.498 Cd
0.002 0.497 0.731 Au
0.501 0.997 0.265 Au
0.501 0.998 0.732 Au
0.001 0.498 0.265 Au
0.501 0.497 0.998 Y
```

Calculated values
- Symmetry: C2/m, No. 12
- M_tot: 0.00 μB/cell
- Crystal system: monoclinic
- DFT formation energy: -0.2540 eV/atom

Pu3Th2NpP6 | PBE | relaxed

The structure in POSCAR format:
```
Pu3Th2NpP6
1.0
4.058 0.000 0.000
0.000 8.057 0.306
-2.029 -2.299 8.522
Pu P Np Th
3 6 1 2
direct
0.500 0.500 0.000 Pu
0.832 0.167 0.664 Pu
0.168 0.833 0.336 Pu
0.665 0.589 0.331 P
0.335 0.411 0.669 P
0.997 0.245 0.994 P
0.003 0.755 0.006 P
0.666 0.073 0.332 P
0.334 0.927 0.668 P
0.500 0.000 0.000 Np
0.165 0.330 0.330 Th
0.835 0.670 0.670 Th
```

Calculated values
- Symmetry: C2/m, No. 12
- M_tot: 1.40 μB/cell
- Crystal system: monoclinic
- DFT formation energy: -1.2290 eV/atom

BaAlCdBi2 | PBE | relaxed

The structure in POSCAR format:
```
BaAlCdBi2
1.0
5.690 0.000 0.000
0.000 6.272 0.000
0.000 0.000 5.690
Al Bi Cd Ba
1 2 1 1
direct
0.500 0.500 0.500 Al
0.500 0.000 0.000 Bi
0.000 0.000 0.500 Bi
0.000 0.000 0.000 Cd
0.000 0.500 0.000 Ba
```

Calculated values
- Symmetry: P4/mmm, No. 123
- M_tot: 0.00 μB/cell
- Crystal system: tetragonal
- DFT formation energy: 0.3520 eV/atom